1.
5
Lattice="5.043 0.000 0.000 0.000 5.043 0.000 0.000 0.000 5.521" Properties=species:S:1:pos:R:3 comment="NiAgTe2I GGA-PBE relaxed" dft_energy_ev_per_atom=-2.895 vol_a3_per_atom=28.077 formation_energy_uncorrected_mev_per_atom=398 space_group=P4/mmm magnetic_moment_mub_per_cell=0.00 de_polymorph_mev_per_atom=0 pbc="T T T"
Ag 2.521 2.521 2.760
Te 0.000 2.521 0.000
Te 2.521 0.000 0.000
I 0.000 0.000 2.760
Ni 0.000 0.000 0.000


2.
5
Lattice="5.458 0.000 0.000 0.000 5.458 0.000 0.000 0.000 5.586" Properties=species:S:1:pos:R:3 comment="NiAgTe2I GGA-PBE relaxed" dft_energy_ev_per_atom=-2.294 vol_a3_per_atom=33.289 formation_energy_uncorrected_mev_per_atom=999 space_group=P4/mmm magnetic_moment_mub_per_cell=1.73 de_polymorph_mev_per_atom=601 pbc="T T T"
I 0.000 0.000 2.793
Ag 0.000 0.000 0.000
Te 0.000 2.729 0.000
Te 2.729 0.000 0.000
Ni 2.729 2.729 2.793